(1)
The following is a PBE-GGA calculation of a relaxed structure of BaCu4As2Pb, from the Alexandria database.

POSCAR file:
```
BaCu4As2Pb
1.0
4.216 0.000 0.000
0.000 4.216 0.000
0.000 0.000 9.497
Ba Cu As Pb
1 4 2 1
direct
0.000 0.000 0.000
0.000 0.500 0.307
0.000 0.500 0.693
0.500 0.000 0.307
0.500 0.000 0.693
0.500 0.500 0.186
0.500 0.500 0.814
0.000 0.000 0.500
```

Calculated values
As for the space group: No. 123.

(2)
The following is a PBE-GGA calculation of a relaxed structure of BaCuAsPb, from the Alexandria database.

POSCAR file:
```
BaCuAsPb
1.0
4.395 0.000 0.000
0.000 4.395 0.000
0.000 0.000 11.886
Ba Cu As Pb
2 2 2 2
direct
0.250 0.250 0.219
0.750 0.750 0.781
0.250 0.750 0.000
0.750 0.250 0.000
0.250 0.250 0.894
0.750 0.750 0.106
0.250 0.750 0.500
0.750 0.250 0.500
```

Calculated values
As for the space group: No. 129.

(3)
The following is a PBE-GGA calculation of a relaxed structure of BaCu2As8Pd, from the Alexandria database.

POSCAR file:
```
BaCu2As8Pd
1.0
2.968 1.713 8.992
-2.968 1.713 8.992
0.000 -3.427 8.992
Ba Cu As Pd
1 2 8 1
direct
0.000 0.000 0.000
0.259 0.259 0.259
0.741 0.741 0.741
0.085 0.863 0.435
0.137 0.565 0.915
0.344 0.344 0.344
0.435 0.085 0.863
0.565 0.915 0.137
0.656 0.656 0.656
0.863 0.435 0.085
0.915 0.137 0.565
0.500 0.500 0.500
```

Calculated values
As for the space group: No. 148.

(4)
The following is a PBE-GGA calculation of a relaxed structure of BaCu2As6Pd2, from the Alexandria database.

POSCAR file:
```
BaCu2As6Pd2
1.0
5.821 0.000 0.000
1.940 5.991 0.000
0.131 0.891 6.923
Ba Cu As Pd
1 2 6 2
direct
0.000 0.000 0.000
0.443 0.142 0.316
0.557 0.858 0.684
0.218 0.898 0.471
0.234 0.489 0.500
0.388 0.361 0.998
0.612 0.639 0.002
0.766 0.511 0.500
0.782 0.102 0.529
0.005 0.490 0.195
0.995 0.510 0.805
```

Calculated values
As for the space group: No. 2.

(5)
The following is a PBE-GGA calculation of a relaxed structure of Ba2CuAs3Pd4, from the Alexandria database.

POSCAR file:
```
Ba2CuAs3Pd4
1.0
4.534 0.000 0.000
0.000 4.534 0.000
0.000 0.000 10.297
Ba Cu As Pd
2 1 3 4
direct
0.000 0.500 0.245
0.500 0.000 0.755
0.500 0.500 0.000
0.000 0.000 0.000
0.000 0.500 0.627
0.500 0.000 0.373
0.000 0.000 0.500
0.000 0.500 0.882
0.500 0.000 0.118
0.500 0.500 0.500
```

Calculated values
As for the space group: No. 115.

(6)
The following is a PBE-GGA calculation of a relaxed structure of Ba2CuAsPd6, from the Alexandria database.

POSCAR file:
```
Ba2CuAsPd6
1.0
6.640 0.000 0.000
3.036 5.914 0.000
3.035 1.844 5.636
Ba Cu As Pd
2 1 1 6
direct
0.208 0.207 0.207
0.792 0.793 0.793
0.000 0.000 0.000
0.500 0.500 0.500
0.245 0.653 0.248
0.248 0.245 0.653
0.346 0.751 0.755
0.654 0.249 0.245
0.752 0.755 0.347
0.755 0.347 0.752
```

Calculated values
As for the space group: No. 2.

(7)
The following is a PBE-GGA calculation of a relaxed structure of BaCuAs2Pd, from the Alexandria database.

POSCAR file:
```
BaCuAs2Pd
1.0
4.443 0.000 0.000
0.000 4.443 0.000
0.000 0.000 10.834
Ba Cu As Pd
2 2 4 2
direct
0.000 0.000 0.000
0.500 0.500 0.500
0.000 0.500 0.750
0.500 0.000 0.250
0.000 0.000 0.368
0.000 0.000 0.632
0.500 0.500 0.132
0.500 0.500 0.868
0.000 0.500 0.250
0.500 0.000 0.750
```

Calculated values
As for the space group: No. 119.

(8)
The following is a PBE-GGA calculation of a relaxed structure of Ba2Cu3As4Pd, from the Alexandria database.

POSCAR file:
```
Ba2Cu3As4Pd
1.0
4.499 0.000 0.000
0.000 4.499 0.000
0.000 0.000 10.255
Ba Cu As Pd
2 3 4 1
direct
0.000 0.500 0.249
0.500 0.000 0.751
0.000 0.500 0.882
0.500 0.000 0.118
0.500 0.500 0.500
0.000 0.000 0.000
0.000 0.500 0.628
0.500 0.000 0.372
0.500 0.500 0.000
0.000 0.000 0.500
```

Calculated values
As for the space group: No. 115.

Number 1: ΔH_f (0 K) -0.22 eV per atom. Number 2: ΔH_f (0 K) -0.44 eV per atom. Number 3: ΔH_f (0 K) -0.01 eV per atom. Number 4: ΔH_f (0 K) -0.29 eV per atom. Number 5: ΔH_f (0 K) -0.67 eV per atom. Number 6: ΔH_f (0 K) -0.45 eV per atom. Number 7: ΔH_f (0 K) -0.63 eV per atom. Number 8: ΔH_f (0 K) -0.56 eV per atom.